(1)
Entry from Alexandria: a relaxed structure of KCuBr2 (PBEsol).

abc: 4.189 4.715 6.565
angles: 111.21 90.00 90.00
Positions (direct):
K1 0.500 0.330 0.783
Br1 0.000 0.882 0.886
Br2 0.500 0.599 0.328
Cu1 0.000 0.688 0.503

Calculated values
energy above the lowest structure with this stoichiometry	0.032	eV/atom
symmetry	No. 6
theoretical density	3.60	g/cm3
E_form (uncorrected)	-0.904	eV per atom
raw total energy	-3.21	eV per atom
magnetic moment	0.00	μB/f.u.



(2)
Entry from Alexandria: a relaxed structure of LiTcRu2 (PBEsol).

abc: 2.667 2.667 9.092
angles: 81.56 81.56 60.00
Positions (direct):
Li1 0.252 0.252 0.244
Ru1 0.003 0.003 0.990
Ru2 0.750 0.750 0.751
Tc1 0.495 0.495 0.515

Calculated values
energy above the lowest structure with this stoichiometry	0.000	eV/atom
symmetry	No. 160
theoretical density	9.24	g/cm3
raw total energy	-8.18	eV per atom
magnetic moment	0.00	μB/f.u.



(3)
Entry from Alexandria: a relaxed structure of TlAsRhBr2 (PBEsol).

abc: 4.588 5.276 5.276
angles: 90.00 90.00 90.00
Positions (direct):
Tl1 0.500 0.500 0.500
Rh1 0.000 0.000 0.000
As1 0.500 0.000 0.000
Br1 0.000 0.000 0.500
Br2 0.000 0.500 0.000

Calculated values
symmetry	No. 123
theoretical density	7.05	g/cm3
E_form (uncorrected)	-0.112	eV per atom
raw total energy	-4.04	eV per atom
magnetic moment	0.00	μB/f.u.



(4)
Entry from Alexandria: a relaxed structure of Ca2YCo (PBEsol).

abc: 3.460 5.526 6.255
angles: 113.81 102.47 97.89
Site moments in Bohr magnetons follow the coordinates.
Positions (direct):
Y1 0.500 0.000 0.000  -0.18
Ca1 0.500 0.500 0.500  -0.03
Ca2 0.000 0.000 0.500  -0.03
Co1 0.000 0.500 0.000  1.34

Calculated values
energy above the lowest structure with this stoichiometry	0.435	eV/atom
symmetry	No. 12
theoretical density	3.66	g/cm3
raw total energy	-4.12	eV per atom
magnetic moment	0.81	μB/f.u.